Entry 1:
{"formula": "Ni4H9Rh2", "functional": "PBE", "state": "optimized geometry", "cell": [[4.469, 0.001, 0.009], [2.234, 3.871, 0.024], [-0.024, -0.056, 11.523]], "species": ["H", "H", "H", "H", "H", "H", "H", "H", "H", "H", "H", "H", "H", "H", "H", "H", "H", "H", "Ni", "Ni", "Ni", "Ni", "Ni", "Ni", "Ni", "Ni", "Rh", "Rh", "Rh", "Rh"], "fractional_positions": [[0.623, 0.972, 0.410], [0.028, 0.377, 0.090], [0.275, 0.725, 0.750], [0.275, 0.000, 0.250], [0.725, 0.000, 0.750], [0.623, 0.405, 0.910], [0.725, 0.275, 0.250], [0.595, 0.377, 0.590], [0.972, 0.623, 0.910], [0.405, 0.972, 0.910], [0.000, 0.275, 0.750], [0.972, 0.405, 0.410], [0.405, 0.623, 0.410], [0.595, 0.028, 0.090], [0.377, 0.028, 0.590], [0.000, 0.725, 0.250], [0.028, 0.595, 0.590], [0.377, 0.595, 0.090], [0.333, 0.333, 0.215], [0.667, 0.667, 0.513], [0.667, 0.667, 0.785], [0.666, 0.667, 0.285], [0.333, 0.333, 0.487], [0.334, 0.333, 0.715], [0.667, 0.667, 0.013], [0.333, 0.333, 0.987], [0.000, 0.000, 0.623], [0.000, 0.000, 0.877], [0.000, 0.000, 0.377], [0.000, 0.000, 0.123]]}

Entry 2:
{"formula": "Ac3TmCo", "functional": "PBE", "state": "optimized geometry", "formation_enthalpy_0k_ev_per_fu": 0.49, "cell": [[5.656, 0.000, 0.000], [0.000, 5.656, 0.000], [0.000, 0.000, 5.656]], "species": ["Ac", "Ac", "Ac", "Tm", "Co"], "fractional_positions": [[0.000, 0.000, 0.500], [0.500, 0.000, 0.000], [0.000, 0.500, 0.000], [0.500, 0.500, 0.500], [0.000, 0.000, 0.000]]}

Entry 3:
{"formula": "TaMn4Ni", "functional": "PBE", "state": "optimized geometry", "formation_enthalpy_0k_ev_per_fu": -0.19, "cell": [[-0.156, -1.083, 4.562], [-3.538, 1.554, 2.661], [-3.235, -3.003, 1.589]], "species": ["Mn", "Mn", "Mn", "Mn", "Ta", "Ni"], "fractional_positions": [[0.378, 0.867, 0.378], [0.867, 0.378, 0.378], [0.378, 0.378, 0.378], [0.378, 0.378, 0.867], [0.000, 0.000, 0.000], [0.750, 0.750, 0.750]]}

Total DFT energy (no corrections)
In order: -135.14 -23.41 -54.50
Unit: eV/cell